1.
TiBe2NiSe: optimized geometry, PBE.

It has space group P4/mmm (No. 123), with a = 3.906 Å, b = 3.906 Å, c = 4.772 Å, α = 90.00°, β = 90.00° and γ = 90.00°. Symmetry generates all atoms from Ti at (0.000, 0.000, 0.000), Be at (0.000, 0.500, 0.500), Ni at (0.500, 0.500, 0.500) and Se at (0.500, 0.500, 0.000).

The value obtained for the total energy is -4.5774 eV per atom. For the uncorrected formation energy, the calculation gives 167 kJ/mol of formula units.

***

2.
TmGaAg: optimized geometry, PBE.

It has space group C2/m (No. 12), with a = 10.471 Å, b = 4.507 Å, c = 7.057 Å, α = 90.00°, β = 131.73° and γ = 90.00°. Symmetry generates all atoms from Tm at (0.035, 0.000, 0.291), Ga at (0.158, 0.500, 0.118) and Ag at (0.173, 0.500, 0.720).

The value obtained for the total energy is -3.9156 eV per atom. The formation energy is -0.466 eV per atom.

***

3.
Ag2Br: optimized geometry, PBE.

It has space group I4/mmm (No. 139), with a = 4.132 Å, b = 4.132 Å, c = 15.450 Å, α = 90.00°, β = 90.00° and γ = 90.00°. Symmetry generates all atoms from Ag at (0.000, 0.000, 0.129), Ag at (0.000, 0.500, 0.000) and Br at (0.000, 0.000, 0.326).

The value obtained for the total energy is -2.5437 eV per atom. For the uncorrected formation energy, the calculation gives -25 kJ/mol of formula units.

***

4.
Nd4PtSe2S: optimized geometry, PBE.

It has space group P2/m (No. 10), with a = 7.316 Å, b = 4.134 Å, c = 7.370 Å, α = 90.00°, β = 109.24° and γ = 90.00°. Symmetry generates all atoms from Nd at (0.242, 0.000, 0.235), Nd at (0.258, 0.500, 0.760), Pt at (0.000, 0.500, 0.000), Se at (0.000, 0.000, 0.500), Se at (0.500, 0.500, 0.500) and S at (0.500, 0.000, 0.000).

The value obtained for the total energy is -6.2205 eV per atom. For the uncorrected formation energy, the calculation gives -1308 kJ/mol of formula units.

***

5.
LiTaTl4: optimized geometry, PBE.

It has space group F-43m (No. 216), with a = 8.656 Å, b = 8.656 Å, c = 8.656 Å, α = 90.00°, β = 90.00° and γ = 90.00°. Symmetry generates all atoms from Li at (0.000, 0.000, 0.000), Ta at (0.250, 0.250, 0.750) and Tl at (0.125, 0.125, 0.375).

The value obtained for the total energy is -3.0628 eV per atom. The formation energy is 0.809 eV per atom.

***

6.
Tb3CN: optimized geometry, PBE.

It has space group C2/c (No. 15), with a = 12.189 Å, b = 11.081 Å, c = 6.368 Å, α = 90.00°, β = 102.54° and γ = 90.00°. Symmetry generates all atoms from Tb at (0.114, 0.248, 0.125), Tb at (0.115, 0.413, 0.627), Tb at (0.131, 0.080, 0.653), C at (0.000, 0.237, 0.750), C at (0.000, 0.411, 0.250) and N at (0.190, 0.092, 0.341).

The value obtained for the total energy is -6.9036 eV per atom. For the uncorrected formation energy, the calculation gives -297 kJ/mol of formula units.

***

7.
Y3PdPt8: optimized geometry, PBE.

It has space group R3m (No. 160, hexagonal axes), with a = 5.4016 Å, b = 5.4016 Å, c = 26.4066 Å, α = 90.00°, β = 90.00° and γ = 120.00°. Symmetry generates all atoms from Y at (0.0000, 0.0000, 0.0000), Y at (0.0000, 0.0000, 0.1311), Y at (0.0000, 0.0000, 0.6093), Pd at (0.0000, 0.0000, 0.4903), Pt at (0.0000, 0.0000, 0.3104), Pt at (0.0000, 0.0000, 0.8106), Pt at (0.9997, 0.4999, 0.0599) and Pt at (0.0030, 0.5015, 0.5611).

The value obtained for the total energy is -7.0181 eV per atom. The formation energy is -0.942 eV per atom.

***

8.
HoZnAu: optimized geometry, PBE.

It has space group C2/m (No. 12), with a = 10.337 Å, b = 4.554 Å, c = 6.852 Å, α = 90.00°, β = 130.21° and γ = 90.00°. Symmetry generates all atoms from Ho at (0.032, 0.000, 0.287), Zn at (0.159, 0.500, 0.116) and Au at (0.176, 0.500, 0.706).

The value obtained for the total energy is -3.6956 eV per atom. The formation energy is -0.653 eV per atom.

***

9.
Ac5Tl2Ge4: optimized geometry, PBE.

It has space group C2/m (No. 12), with a = 24.358 Å, b = 4.698 Å, c = 6.974 Å, α = 90.00°, β = 91.59° and γ = 90.00°. Symmetry generates all atoms from Ac at (0.000, 0.000, 0.000), Ac at (0.079, 0.500, 0.357), Ac at (0.181, 0.500, 0.806), Tl at (0.222, 0.500, 0.295), Ge at (0.055, 0.500, 0.791) and Ge at (0.168, 0.000, 0.475).

The value obtained for the total energy is -4.2431 eV per atom. The formation energy is -0.266 eV per atom.

***

10.
V4Cr: optimized geometry, PBE.

It has space group I4_1/a (No. 88, origin choice 2), with a = 4.873 Å, b = 4.873 Å, c = 11.682 Å, α = 90.00°, β = 90.00° and γ = 90.00°. Symmetry generates all atoms from V at (0.119, 0.009, 0.201) and Cr at (0.000, 0.250, 0.625).

The value obtained for the total energy is -8.8993 eV per atom. The formation energy is 0.320 eV per atom.